Computed, not measured: an optimized crystal structure of Al3Fe3Si2 at the PBE level of DFT.

Properties
The space group is P-1, No. 2. The polymorph energy (0 for the lowest one) comes out at 0.000 eV/atom.

a = 4.706 Å, b = 6.194 Å, c = 7.401 Å
α = 102.74°, β = 100.94°, γ = 98.55°
Fractional coordinates of all 16 atoms:
Al (0.040, 0.387, 0.334)
Al (0.217, 0.944, 0.439)
Al (0.289, 0.042, 0.116)
Al (0.711, 0.958, 0.884)
Al (0.783, 0.056, 0.561)
Al (0.960, 0.613, 0.666)
Fe (0.209, 0.010, 0.775)
Fe (0.360, 0.662, 0.952)
Fe (0.437, 0.671, 0.580)
Fe (0.563, 0.329, 0.420)
Fe (0.640, 0.338, 0.048)
Fe (0.791, 0.990, 0.225)
Si (0.080, 0.325, 0.934)
Si (0.449, 0.351, 0.725)
Si (0.551, 0.649, 0.275)
Si (0.920, 0.675, 0.066)

Computed, not measured: an optimized crystal structure of GdThNi2 at the PBE level of DFT.

Properties
The space group is P4/mmm, No. 123. The formation energy from the elements comes out at -0.316 eV/atom. The polymorph energy (0 for the lowest one) comes out at 0.000 eV/atom.

a = 3.488 Å, b = 3.488 Å, c = 6.887 Å
α = 90.00°, β = 90.00°, γ = 90.00°
Fractional coordinates of all 4 atoms:
Gd (0.000, 0.000, 0.000)
Th (0.000, 0.000, 0.500)
Ni (0.500, 0.500, 0.277)
Ni (0.500, 0.500, 0.723)

Computed, not measured: an optimized crystal structure of KSbI2 at the PBE level of DFT.

Properties
The space group is I-42d, No. 122. The polymorph energy (0 for the lowest one) comes out at 0.000 eV/atom.

a = 10.726 Å, b = 10.726 Å, c = 10.726 Å
α = 144.70°, β = 144.70°, γ = 50.78°
Fractional coordinates of all 8 atoms:
K (0.000, 0.000, 0.000)
K (0.750, 0.250, 0.500)
Sb (0.250, 0.750, 0.500)
Sb (0.500, 0.500, 0.000)
I (0.191, 0.625, 0.066)
I (0.375, 0.441, 0.566)
I (0.559, 0.125, 0.934)
I (0.875, 0.809, 0.434)

Computed, not measured: an optimized crystal structure of Sn3H2O4 at the PBE level of DFT.

Properties
The space group is P-42_1c, No. 114. For the uncorrected energy, the calculation gives -197.43 eV/cell.

a = 8.112 Å, b = 8.112 Å, c = 9.225 Å
α = 90.00°, β = 90.00°, γ = 90.00°
Fractional coordinates of all 36 atoms:
Sn (0.000, 0.000, 0.224)
Sn (0.000, 0.000, 0.776)
Sn (0.115, 0.293, 0.506)
Sn (0.207, 0.385, 0.006)
Sn (0.293, 0.885, 0.494)
Sn (0.385, 0.793, 0.994)
Sn (0.500, 0.500, 0.276)
Sn (0.500, 0.500, 0.724)
Sn (0.615, 0.207, 0.994)
Sn (0.707, 0.115, 0.494)
Sn (0.793, 0.615, 0.006)
Sn (0.885, 0.707, 0.506)
H (0.169, 0.684, 0.262)
H (0.184, 0.669, 0.762)
H (0.316, 0.169, 0.738)
H (0.331, 0.184, 0.238)
H (0.669, 0.816, 0.238)
H (0.684, 0.831, 0.738)
H (0.816, 0.331, 0.762)
H (0.831, 0.316, 0.262)
O (0.085, 0.818, 0.623)
O (0.115, 0.760, 0.332)
O (0.182, 0.085, 0.377)
O (0.240, 0.115, 0.668)
O (0.260, 0.615, 0.832)
O (0.318, 0.585, 0.123)
O (0.385, 0.260, 0.168)
O (0.415, 0.318, 0.877)
O (0.585, 0.682, 0.877)
O (0.615, 0.740, 0.168)
O (0.682, 0.415, 0.123)
O (0.740, 0.385, 0.832)
O (0.760, 0.885, 0.668)
O (0.818, 0.915, 0.377)
O (0.885, 0.240, 0.332)
O (0.915, 0.182, 0.623)

Computed, not measured: an optimized crystal structure of VCdI6 at the PBE level of DFT.

Properties
The space group is C2/m, No. 12. For the uncorrected energy, the calculation gives -22.23 eV/cell.

a = 7.479 Å, b = 7.479 Å, c = 7.363 Å
α = 100.33°, β = 100.33°, γ = 122.12°
Fractional coordinates of all 8 atoms:
V (0.000, 0.000, 0.000)
Cd (0.500, 0.500, 0.500)
I (0.079, 0.381, 0.248)
I (0.243, 0.243, 0.805)
I (0.381, 0.079, 0.248)
I (0.619, 0.921, 0.752)
I (0.757, 0.757, 0.195)
I (0.921, 0.619, 0.752)

Computed, not measured: an optimized crystal structure of LaBO2 at the PBE level of DFT.

Properties
The space group is I-42d, No. 122. For the uncorrected energy, the calculation gives -51.22 eV/cell.

a = 6.976 Å, b = 6.976 Å, c = 6.976 Å
α = 143.06°, β = 143.06°, γ = 53.24°
Fractional coordinates of all 8 atoms:
La (0.000, 0.000, 0.000)
La (0.750, 0.250, 0.500)
B (0.250, 0.750, 0.500)
B (0.500, 0.500, 0.000)
O (0.179, 0.625, 0.054)
O (0.375, 0.429, 0.554)
O (0.571, 0.125, 0.946)
O (0.875, 0.821, 0.446)

Computed, not measured: an optimized crystal structure of NiHgSe2 at the PBE level of DFT.

Properties
The space group is I-4m2, No. 119. For the uncorrected energy, the calculation gives -11.70 eV/cell.

a = 8.244 Å, b = 8.244 Å, c = 8.244 Å
α = 154.32°, β = 154.32°, γ = 36.63°
Fractional coordinates of all 4 atoms:
Ni (0.000, 0.000, 0.000)
Hg (0.750, 0.250, 0.500)
Se (0.250, 0.750, 0.500)
Se (0.500, 0.500, 0.000)

Computed, not measured: an optimized crystal structure of SnBiOs2 at the PBE level of DFT.

Properties
The space group is Fm-3m, No. 225. The formation energy from the elements comes out at 0.804 eV/atom. The polymorph energy (0 for the lowest one) comes out at 0.000 eV/atom.

a = 4.711 Å, b = 4.711 Å, c = 4.711 Å
α = 60.00°, β = 60.00°, γ = 60.00°
Fractional coordinates of all 4 atoms:
Sn (0.000, 0.000, 0.000)
Bi (0.500, 0.500, 0.500)
Os (0.250, 0.250, 0.250)
Os (0.750, 0.750, 0.750)

Computed, not measured: an optimized crystal structure of Ac3Pm4Nd2 at the PBE level of DFT.

Properties
The space group is P-1, No. 2. The formation energy from the elements comes out at 0.037 eV/atom.

a = 6.498 Å, b = 6.544 Å, c = 8.484 Å
α = 82.49°, β = 74.76°, γ = 79.95°
Fractional coordinates of all 9 atoms:
Ac (0.000, 0.000, 0.000)
Ac (0.120, 0.223, 0.552)
Ac (0.880, 0.777, 0.448)
Pm (0.227, 0.441, 0.107)
Pm (0.334, 0.659, 0.673)
Pm (0.666, 0.341, 0.327)
Pm (0.773, 0.559, 0.893)
Nd (0.443, 0.884, 0.220)
Nd (0.557, 0.116, 0.780)

Computed, not measured: an optimized crystal structure of ScU3Tl3Se8 at the PBE level of DFT.

Properties
The space group is R-3m, No. 166. For the uncorrected energy, the calculation gives -90.83 eV/cell.

a = 9.216 Å, b = 9.216 Å, c = 9.216 Å
α = 52.75°, β = 52.75°, γ = 52.75°
Fractional coordinates of all 15 atoms:
Sc (0.000, 0.000, 0.000)
U (0.000, 0.500, 0.500)
U (0.500, 0.000, 0.500)
U (0.500, 0.500, 0.000)
Tl (0.000, 0.000, 0.500)
Tl (0.000, 0.500, 0.000)
Tl (0.500, 0.000, 0.000)
Se (0.227, 0.227, 0.744)
Se (0.227, 0.744, 0.227)
Se (0.256, 0.773, 0.773)
Se (0.264, 0.264, 0.264)
Se (0.736, 0.736, 0.736)
Se (0.744, 0.227, 0.227)
Se (0.773, 0.256, 0.773)
Se (0.773, 0.773, 0.256)

Computed, not measured: an optimized crystal structure of AgTePI2 at the PBE level of DFT.

Properties
The space group is P4/mmm, No. 123. The polymorph energy (0 for the lowest one) comes out at 0.387 eV/atom.

a = 5.559 Å, b = 5.559 Å, c = 5.702 Å
α = 90.00°, β = 90.00°, γ = 90.00°
Fractional coordinates of all 5 atoms:
Ag (0.000, 0.000, 0.000)
Te (0.000, 0.000, 0.500)
P (0.500, 0.500, 0.500)
I (0.000, 0.500, 0.000)
I (0.500, 0.000, 0.000)

Computed, not measured: an optimized crystal structure of Ta4BePb at the PBE level of DFT.

Properties
The space group is F-43m, No. 216. The formation energy from the elements comes out at 0.770 eV/atom.

a = 5.527 Å, b = 5.527 Å, c = 5.527 Å
α = 60.00°, β = 60.00°, γ = 60.00°
Fractional coordinates of all 6 atoms:
Ta (0.124, 0.124, 0.124)
Ta (0.124, 0.124, 0.629)
Ta (0.124, 0.629, 0.124)
Ta (0.629, 0.124, 0.124)
Be (0.750, 0.750, 0.750)
Pb (0.500, 0.500, 0.500)

Computed, not measured: an optimized crystal structure of CeZn11Au at the PBE level of DFT.

Properties
The space group is C2/m, No. 12. The formation energy from the elements comes out at -0.189 eV/atom.

a = 6.898 Å, b = 6.898 Å, c = 6.859 Å
α = 98.36°, β = 98.36°, γ = 134.87°
Fractional coordinates of all 13 atoms:
Ce (0.000, 0.000, 0.000)
Zn (0.000, 0.359, 0.353)
Zn (0.000, 0.500, 0.000)
Zn (0.000, 0.641, 0.647)
Zn (0.288, 0.509, 0.784)
Zn (0.359, 0.000, 0.353)
Zn (0.491, 0.712, 0.216)
Zn (0.500, 0.000, 0.000)
Zn (0.500, 0.500, 0.500)
Zn (0.509, 0.288, 0.784)
Zn (0.641, 0.000, 0.647)
Zn (0.712, 0.491, 0.216)
Au (0.000, 0.000, 0.500)

Computed, not measured: an optimized crystal structure of Tm2GaP at the PBE level of DFT.

Properties
The space group is R-3m, No. 166. The formation energy from the elements comes out at -1.001 eV/atom. The polymorph energy (0 for the lowest one) comes out at 0.099 eV/atom.

a = 7.655 Å, b = 7.655 Å, c = 7.655 Å
α = 28.96°, β = 28.96°, γ = 28.96°
Fractional coordinates of all 4 atoms:
Tm (0.240, 0.240, 0.240)
Tm (0.760, 0.760, 0.760)
Ga (0.000, 0.000, 0.000)
P (0.500, 0.500, 0.500)

Computed, not measured: an optimized crystal structure of Cr3Co at the PBE level of DFT.

Properties
The space group is P4/mmm, No. 123. The formation energy from the elements comes out at 0.074 eV/atom.

a = 4.013 Å, b = 4.013 Å, c = 2.897 Å
α = 90.00°, β = 90.00°, γ = 90.00°
Fractional coordinates of all 4 atoms:
Cr (0.000, 0.000, 0.000)
Cr (0.000, 0.500, 0.500)
Cr (0.500, 0.000, 0.500)
Co (0.500, 0.500, 0.000)

Computed, not measured: an optimized crystal structure of Ce2C2N at the PBE level of DFT.

Properties
The space group is C2/c, No. 15. For the uncorrected energy, the calculation gives -83.53 eV/cell.

a = 6.830 Å, b = 6.830 Å, c = 6.551 Å
α = 105.45°, β = 105.45°, γ = 31.94°
Fractional coordinates of all 10 atoms:
Ce (0.111, 0.661, 0.853)
Ce (0.339, 0.889, 0.647)
Ce (0.661, 0.111, 0.353)
Ce (0.889, 0.339, 0.147)
C (0.121, 0.447, 0.461)
C (0.447, 0.121, 0.961)
C (0.553, 0.879, 0.039)
C (0.879, 0.553, 0.539)
N (0.259, 0.741, 0.250)
N (0.741, 0.259, 0.750)

Computed, not measured: an optimized crystal structure of ScMoSe2 at the PBE level of DFT.

Properties
The space group is I-4m2, No. 119. The polymorph energy (0 for the lowest one) comes out at 0.491 eV/atom.

a = 6.358 Å, b = 6.358 Å, c = 6.358 Å
α = 146.35°, β = 146.35°, γ = 48.32°
Fractional coordinates of all 4 atoms:
Sc (0.000, 0.000, 0.000)
Mo (0.750, 0.250, 0.500)
Se (0.250, 0.750, 0.500)
Se (0.500, 0.500, 0.000)

Computed, not measured: an optimized crystal structure of MgAlIn4 at the PBE level of DFT.

Properties
The space group is F-43m, No. 216. The formation energy from the elements comes out at 0.250 eV/atom.

a = 6.106 Å, b = 6.106 Å, c = 6.106 Å
α = 60.00°, β = 60.00°, γ = 60.00°
Fractional coordinates of all 6 atoms:
Mg (0.000, 0.000, 0.000)
Al (0.750, 0.750, 0.750)
In (0.375, 0.375, 0.375)
In (0.375, 0.375, 0.875)
In (0.375, 0.875, 0.375)
In (0.875, 0.375, 0.375)

Computed, not measured: an optimized crystal structure of TaCdCSe2 at the PBE level of DFT.

Properties
The space group is P4/mmm, No. 123. For the uncorrected energy, the calculation gives -26.63 eV/cell.

a = 5.180 Å, b = 5.180 Å, c = 4.075 Å
α = 90.00°, β = 90.00°, γ = 90.00°
Fractional coordinates of all 5 atoms:
Ta (0.000, 0.000, 0.000)
Cd (0.500, 0.500, 0.500)
C (0.000, 0.000, 0.500)
Se (0.000, 0.500, 0.000)
Se (0.500, 0.000, 0.000)

Computed, not measured: an optimized crystal structure of Pr5Er4Tm3 at the PBE level of DFT.

Properties
The space group is C2/m, No. 12. The formation energy from the elements comes out at 0.229 eV/atom.

a = 6.390 Å, b = 6.390 Å, c = 12.951 Å
α = 103.09°, β = 103.09°, γ = 51.20°
Fractional coordinates of all 12 atoms:
Pr (0.000, 0.000, 0.000)
Pr (0.143, 0.143, 0.465)
Pr (0.267, 0.267, 0.110)
Pr (0.733, 0.733, 0.890)
Pr (0.857, 0.857, 0.535)
Er (0.053, 0.053, 0.776)
Er (0.409, 0.409, 0.375)
Er (0.591, 0.591, 0.625)
Er (0.947, 0.947, 0.224)
Tm (0.342, 0.342, 0.732)
Tm (0.500, 0.500, 0.000)
Tm (0.658, 0.658, 0.268)